PBE-GGA LiCdO2, optimized geometry; formation energy without anion corrections = -0.633 eV/atom; DFT total energy = -3.82 eV/atom; theoretical density = 4.94 Mg/m³; total moment = 1.000 μB/cell; symmetry = R-3m
1.0
1.783 0.000 6.160
-0.891 1.544 6.160
-0.891 -1.544 6.160
Li O Cd
1 2 1
Direct
0.500 0.500 0.500
0.893 0.893 0.893
0.107 0.107 0.107
0.000 0.000 0.000

=====

PBE-GGA Ba3Hg2PdO6, optimized geometry; formation energy without anion corrections = -1.338 eV/atom; DFT total energy = -4.78 eV/atom; theoretical density = 7.58 Mg/m³; total moment = 0.061 μB/cell; symmetry = P-3m1
1.0
-5.831 0.697 -1.498
3.851 -2.555 -3.920
-1.443 -6.297 2.687
Ba O Pd Hg
3 6 1 2
Direct
0.667 0.333 0.382
0.000 0.000 0.000
0.333 0.667 0.618
0.683 0.841 0.327
0.317 0.159 0.673
0.841 0.159 0.673
0.159 0.317 0.327
0.159 0.841 0.327
0.841 0.683 0.673
0.000 0.000 0.500
0.333 0.667 0.117
0.667 0.333 0.883

=====

PBE-GGA CaTbI4, optimized geometry; formation energy without anion corrections = -1.375 eV/atom; DFT total energy = -3.51 eV/atom; theoretical density = 4.53 Mg/m³; total moment = 0.371 μB/cell; symmetry = C2/m
1.0
-3.336 2.449 0.984
-2.297 -0.189 -7.318
-7.821 -12.899 5.581
I Ca Tb
8 2 2
Direct
0.500 0.872 0.118
0.000 0.128 0.382
0.500 0.636 0.383
0.000 0.364 0.117
0.500 0.128 0.882
0.500 0.364 0.617
0.000 0.636 0.883
0.000 0.872 0.618
0.500 0.500 0.000
0.000 0.500 0.500
0.500 0.000 0.500
0.000 0.000 0.000

=====

PBE-GGA NbPb2I, optimized geometry; formation energy without anion corrections = 0.869 eV/atom; DFT total energy = -3.89 eV/atom; theoretical density = 9.09 Mg/m³; total moment = 2.714 μB/cell; energy relative to the lowest polymorph listed for this composition = 142 meV per atom; symmetry = Fm-3m
1.0
0.000 3.869 3.869
3.869 0.000 3.869
3.869 3.869 0.000
I Pb Nb
1 2 1
Direct
0.500 0.500 0.500
0.250 0.250 0.250
0.750 0.750 0.750
0.000 0.000 0.000

=====

PBE-GGA Pa2NiWN6, optimized geometry; formation energy without anion corrections = -0.665 eV/atom; DFT total energy = -9.43 eV/atom; theoretical density = 10.11 Mg/m³; total moment = 0.000 μB/cell; symmetry = P4mm
1.0
4.632 0.000 0.000
0.000 5.288 0.000
0.000 0.000 5.288
Pa N Ni W
2 6 1 1
Direct
0.999 0.500 0.000
0.999 0.000 0.500
0.720 0.748 0.252
0.720 0.252 0.252
0.720 0.748 0.748
0.178 0.500 0.500
0.183 0.000 0.000
0.720 0.252 0.748
0.629 0.000 0.000
0.576 0.500 0.500

=====

PBE-GGA AgBiTe2, optimized geometry; formation energy without anion corrections = -0.072 eV/atom; DFT total energy = -3.33 eV/atom; theoretical density = 7.91 Mg/m³; total moment = 0.000 μB/cell; symmetry = P-3m1
1.0
4.404 0.000 0.000
-2.202 3.814 0.000
0.000 0.000 21.434
Ag Te Bi
3 6 3
Direct
0.000 0.000 0.500
0.333 0.667 0.638
0.667 0.333 0.362
0.000 0.000 0.723
0.333 0.667 0.910
0.667 0.333 0.577
0.667 0.333 0.090
0.333 0.667 0.423
0.000 0.000 0.277
0.333 0.667 0.192
0.667 0.333 0.808
0.000 0.000 0.000

=====

PBE-GGA Rb2AsSeCl6, optimized geometry; formation energy without anion corrections = -0.949 eV/atom; DFT total energy = -3.06 eV/atom; theoretical density = 2.99 Mg/m³; total moment = 0.000 μB/cell; symmetry = I4/mmm
1.0
-3.870 -3.323 5.720
6.063 0.869 4.607
-0.660 3.320 6.617
Cl As Rb Se
6 1 2 1
Direct
0.271 0.729 0.000
0.251 0.251 0.499
0.271 0.271 0.000
0.729 0.729 0.000
0.749 0.749 0.501
0.729 0.271 0.000
0.500 0.500 0.000
0.250 0.750 0.500
0.750 0.250 0.500
0.000 0.000 0.000

=====

PBE-GGA BaAgGeF2, optimized geometry; formation energy without anion corrections = -0.694 eV/atom; DFT total energy = -3.32 eV/atom; theoretical density = 4.48 Mg/m³; total moment = 1.318 μB/cell; symmetry = P4/mmm
1.0
4.661 0.000 0.000
0.000 6.073 0.000
0.000 0.000 4.661
Ge Ag Ba F
1 1 1 2
Direct
0.500 0.500 0.500
0.000 0.000 0.000
0.000 0.500 0.000
0.500 0.000 0.000
0.000 0.000 0.500

=====

PBE-GGA PmNdSm5Dy2, optimized geometry; DFT total energy = -4.55 eV/atom; theoretical density = 7.37 Mg/m³; total moment = 0.000 μB/cell; symmetry = Cmc2_1; formation energy from the elements = 0.15 eV/atom
1.0
-2.806 4.902 0.713
-7.402 -7.433 -0.761
0.291 -1.374 10.588
Sm Pm Nd Dy
10 2 2 4
Direct
0.719 0.438 0.811
0.281 0.562 0.311
0.298 0.595 0.706
0.522 0.044 0.239
0.983 0.966 0.525
0.478 0.956 0.739
0.391 0.782 0.025
0.702 0.405 0.206
0.017 0.034 0.025
0.609 0.218 0.525
0.201 0.402 0.011
0.799 0.598 0.511
0.585 0.171 0.951
0.415 0.829 0.451
0.112 0.223 0.734
0.884 0.768 0.822
0.888 0.777 0.234
0.116 0.232 0.322

=====

PBE-GGA ReSi, optimized geometry; formation energy without anion corrections = -0.165 eV/atom; DFT total energy = -9.10 eV/atom; theoretical density = 12.87 Mg/m³; total moment = 0.000 μB/cell; symmetry = Pmmn
1.0
2.915 0.000 0.000
0.000 4.378 0.000
0.000 0.000 4.334
Si Re
2 2
Direct
0.500 0.000 0.499
0.000 0.500 0.334
0.000 0.000 0.023
0.500 0.500 0.810

=====

PBE-GGA CrGe3Bi, optimized geometry; DFT total energy = -5.12 eV/atom; theoretical density = 7.16 Mg/m³; total moment = 2.437 μB/cell; energy relative to the lowest polymorph listed for this composition = 0 meV per atom; symmetry = Pm-3m; formation energy from the elements = 0.35 eV/atom
1.0
4.806 0.000 0.000
0.000 4.806 0.000
0.000 0.000 4.806
Ge Cr Bi
3 1 1
Direct
0.500 0.000 0.000
0.000 0.500 0.000
0.000 0.000 0.500
0.000 0.000 0.000
0.500 0.500 0.500

=====

PBE-GGA In2Ga2Hg7, optimized geometry; DFT total energy = -1.14 eV/atom; theoretical density = 9.13 Mg/m³; total moment = 0.000 μB/cell; energy relative to the lowest polymorph listed for this composition = 42 meV per atom; symmetry = C2/m; formation energy from the elements = 0.10 eV/atom
1.0
-0.326 -8.410 -0.241
4.549 0.895 7.028
-4.896 1.911 0.837
Hg In Ga
7 2 2
Direct
0.714 0.714 0.536
0.000 0.000 0.000
0.477 0.892 0.183
0.286 0.286 0.464
0.892 0.477 0.183
0.523 0.108 0.817
0.108 0.523 0.817
0.714 0.286 0.500
0.286 0.714 0.500
0.409 0.409 0.113
0.591 0.591 0.887